# K3HfP PBE relaxed
data_K3HfP
_symmetry_space_group_name_H-M 'P 1'
_symmetry_Int_Tables_number 1
_symmetry_space_group_name_Hall 'P 1'
_cell_length_a 6.533
_cell_length_b 6.533
_cell_length_c 6.533
_cell_angle_alpha 90.00
_cell_angle_beta 90.00
_cell_angle_gamma 90.00
loop_
_atom_site_label
_atom_site_type_symbol
_atom_site_fract_x
_atom_site_fract_y
_atom_site_fract_z
P1 P 0.500 0.500 0.500
K1 K 0.000 0.500 0.000
K2 K 0.000 0.000 0.500
K3 K 0.500 0.000 0.000
Hf1 Hf 0.000 0.000 0.000
# energy relative to the lowest polymorph listed for this composition: 560 meV per atom
# ΔE_f: 1.52 eV/atom
# crystal system: cubic
# N(E_F): 0.61 states/eV per atom